Entry 1:
SrBiCl2 GGA-PBE relaxed; raw total energy = -2.996 eV per atom; density of states at the Fermi level = 0.199 states/eV/atom; E_form (uncorrected) = -682.4 meV per atom; offset from the most stable computed form = 2.807 eV/f.u.; volume = 32.1 A^3/atom
1.0
1.8902 1.0913 10.3838
-1.8902 1.0913 10.3838
0.0000 -2.1826 10.3838
Sr Bi Cl
1 1 2
Direct
0.0000 0.0000 0.0000 Sr
0.5000 0.5000 0.5000 Bi
0.0892 0.0892 0.0892 Cl
0.9108 0.9108 0.9108 Cl


Entry 2:
Sm4RuAu3 GGA-PBE relaxed; raw total energy = -5.407 eV per atom; energy of formation = -0.66 eV/atom; density of states at the Fermi level = 0.755 states/eV/atom; volume = 23.8 A^3/atom
1.0
3.5811 0.0000 0.0000
0.0000 3.5811 0.0000
0.0000 0.0000 14.8537
Sm Ru Au
4 1 3
Direct
0.0000 0.0000 0.1145 Sm
0.0000 0.0000 0.3713 Sm
0.0000 0.0000 0.6287 Sm
0.0000 0.0000 0.8855 Sm
0.5000 0.5000 0.0000 Ru
0.5000 0.5000 0.2452 Au
0.5000 0.5000 0.5000 Au
0.5000 0.5000 0.7548 Au


Entry 3:
ScAg2W GGA-PBE relaxed; raw total energy = -5.439 eV per atom; energy of formation = 0.81 eV/atom; density of states at the Fermi level = 0.861 states/eV/atom; offset from the most stable computed form = 2.440 eV/f.u.; volume = 19.4 A^3/atom
1.0
-1.9533 1.9533 10.1827
1.9533 -1.9533 10.1827
1.9533 1.9533 -10.1827
Sc Ag W
2 4 2
Direct
0.0000 0.0000 0.0000 Sc
0.7500 0.2500 0.5000 Sc
0.1309 0.6250 0.0059 Ag
0.3750 0.3809 0.5059 Ag
0.6191 0.1250 0.9941 Ag
0.8750 0.8691 0.4941 Ag
0.2500 0.7500 0.5000 W
0.5000 0.5000 0.0000 W


Entry 4:
Cr2ReTc GGA-PBE relaxed; raw total energy = -10.310 eV per atom; energy of formation = 0.21 eV/atom; density of states at the Fermi level = 1.298 states/eV/atom; volume = 13.5 A^3/atom
1.0
-1.8743 1.8743 3.8316
1.8743 -1.8743 3.8316
1.8743 1.8743 -3.8316
Cr Re Tc
2 1 1
Direct
0.0000 0.0000 0.0000 Cr
0.7500 0.2500 0.5000 Cr
0.2500 0.7500 0.5000 Re
0.5000 0.5000 0.0000 Tc


Entry 5:
PmEr6Sc GGA-PBE relaxed; raw total energy = -4.564 eV per atom; energy of formation = 0.24 eV/atom; density of states at the Fermi level = 1.977 states/eV/atom; volume = 31.0 A^3/atom
1.0
5.6680 3.2724 2.2255
-5.6680 3.2724 2.2255
0.0000 -6.5449 2.2255
Pm Er Sc
1 6 1
Direct
0.0000 0.0000 0.0000 Pm
0.2514 0.2514 0.7362 Er
0.2514 0.7362 0.2514 Er
0.2638 0.7486 0.7486 Er
0.7362 0.2514 0.2514 Er
0.7486 0.2638 0.7486 Er
0.7486 0.7486 0.2638 Er
0.5000 0.5000 0.5000 Sc


Entry 6:
LaYW2 GGA-PBE relaxed; raw total energy = -8.576 eV per atom; energy of formation = 0.75 eV/atom; density of states at the Fermi level = 0.643 states/eV/atom; offset from the most stable computed form = 1.834 eV/f.u.; volume = 24.2 A^3/atom
1.0
2.9784 0.0000 0.0000
0.0000 4.9892 0.0000
-0.2634 0.0000 6.5063
La Y W
1 1 2
Direct
0.0000 0.0000 0.0000 La
0.5000 0.0000 0.5000 Y
0.0717 0.5000 0.3164 W
0.9283 0.5000 0.6836 W


Entry 7:
LaNd6Zn GGA-PBE relaxed; raw total energy = -4.330 eV per atom; energy of formation = 0.02 eV/atom; density of states at the Fermi level = 1.352 states/eV/atom; volume = 33.3 A^3/atom
1.0
6.4732 0.0000 0.0000
-0.7264 6.4387 0.0000
-0.7142 -0.7953 6.3917
La Nd Zn
1 6 1
Direct
0.0000 0.0000 0.0000 La
0.0757 0.2664 0.5481 Nd
0.2661 0.5478 0.0764 Nd
0.4525 0.9233 0.7337 Nd
0.5475 0.0767 0.2663 Nd
0.7339 0.4522 0.9236 Nd
0.9243 0.7336 0.4519 Nd
0.5000 0.5000 0.5000 Zn


Entry 8:
MnGeCN GGA-PBE relaxed; raw total energy = -7.468 eV per atom; density of states at the Fermi level = 0.067 states/eV/atom; E_form (uncorrected) = 366.2 meV per atom; offset from the most stable computed form = 0.339 eV/f.u.; volume = 10.4 A^3/atom
1.0
2.9517 0.0000 0.0000
-1.0400 2.7664 0.0000
-0.1083 -0.4200 5.1053
Mn Ge C N
1 1 1 1
Direct
0.0000 0.0000 0.0000 Mn
0.5906 0.1780 0.3735 Ge
0.3561 0.5925 0.8545 C
0.5933 0.7102 0.6297 N